Computed, not measured: crystalline NpTl2Pb3Se6 at its relaxed geometry at the PBE-GGA level of DFT.

Unit cell a=7.797 b=7.797 c=7.480 alpha=99.85 beta=99.85 gamma=120.10
Sites, in units of the cell vectors:
Np (0.000, 0.000, 0.000)
Tl (0.328, 0.672, 0.000)
Tl (0.672, 0.328, 0.000)
Pb (0.157, 0.843, 0.500)
Pb (0.500, 0.500, 0.500)
Pb (0.843, 0.157, 0.500)
Se (0.082, 0.374, 0.240)
Se (0.219, 0.219, 0.748)
Se (0.374, 0.082, 0.240)
Se (0.626, 0.918, 0.760)
Se (0.781, 0.781, 0.252)
Se (0.918, 0.626, 0.760)

Total DFT energy (no corrections): -57.53 eV per formula unit
Density of states at the Fermi level: 0.455 states/eV/atom
E_form (uncorrected): -0.652 eV per atom

Computed, not measured: crystalline La2CeCd2Sn2 at its relaxed geometry at the PBE-GGA level of DFT.

Unit cell a=9.614 b=9.614 c=9.614 alpha=30.68 beta=30.68 gamma=30.68
Sites, in units of the cell vectors:
La (0.127, 0.127, 0.127)
La (0.873, 0.873, 0.873)
Ce (0.000, 0.000, 0.000)
Cd (0.393, 0.393, 0.393)
Cd (0.607, 0.607, 0.607)
Sn (0.264, 0.264, 0.264)
Sn (0.736, 0.736, 0.736)

Total DFT energy (no corrections): -28.02 eV per formula unit
Density of states at the Fermi level: 1.471 states/eV/atom
E_form: -341.9 meV/atom

Computed, not measured: crystalline CaTl2Si at its relaxed geometry at the PBE-GGA level of DFT.

Unit cell a=6.433 b=6.433 c=5.056 alpha=113.00 beta=113.00 gamma=34.10
Sites, in units of the cell vectors:
Ca (0.000, 0.000, 0.000)
Tl (0.208, 0.208, 0.709)
Tl (0.792, 0.792, 0.291)
Si (0.500, 0.500, 0.500)

Total DFT energy (no corrections): -12.36 eV per formula unit
Density of states at the Fermi level: 0.442 states/eV/atom
E_form (uncorrected): -0.052 eV per atom

Computed, not measured: crystalline Pm3HgRh8 at its relaxed geometry at the PBE-GGA level of DFT.

Unit cell a=9.333 b=9.333 c=9.333 alpha=33.35 beta=33.35 gamma=33.35
Sites, in units of the cell vectors:
Pm (0.000, 0.000, 0.000)
Pm (0.129, 0.129, 0.129)
Pm (0.619, 0.619, 0.619)
Hg (0.497, 0.497, 0.497)
Rh (0.061, 0.061, 0.563)
Rh (0.061, 0.563, 0.061)
Rh (0.062, 0.562, 0.562)
Rh (0.312, 0.312, 0.312)
Rh (0.562, 0.062, 0.562)
Rh (0.562, 0.562, 0.062)
Rh (0.563, 0.061, 0.061)
Rh (0.812, 0.812, 0.812)

Total DFT energy (no corrections): -79.49 eV per formula unit
Density of states at the Fermi level: 0.963 states/eV/atom
E_form: -510.0 meV/atom

Computed, not measured: crystalline CaTc2Se at its relaxed geometry at the PBE-GGA level of DFT.

Unit cell a=6.143 b=6.143 c=6.143 alpha=39.47 beta=39.47 gamma=39.47
Sites, in units of the cell vectors:
Ca (0.000, 0.000, 0.000)
Tc (0.204, 0.204, 0.204)
Tc (0.513, 0.513, 0.513)
Se (0.777, 0.777, 0.777)

Total DFT energy (no corrections): -26.92 eV per formula unit
Density of states at the Fermi level: 0.207 states/eV/atom
E_form (uncorrected): -0.176 eV per atom

Computed, not measured: crystalline BaCa3Pd at its relaxed geometry at the PBE-GGA level of DFT.

Unit cell a=6.995 b=7.516 c=7.741 alpha=72.33 beta=85.55 gamma=87.01
Sites, in units of the cell vectors:
Ba (0.139, 0.175, 0.138)
Ba (0.861, 0.825, 0.862)
Ca (0.162, 0.303, 0.611)
Ca (0.357, 0.794, 0.576)
Ca (0.368, 0.674, 0.130)
Ca (0.632, 0.326, 0.870)
Ca (0.643, 0.206, 0.424)
Ca (0.838, 0.697, 0.389)
Pd (0.424, 0.023, 0.814)
Pd (0.576, 0.977, 0.186)

Total DFT energy (no corrections): -14.58 eV per formula unit
Density of states at the Fermi level: 0.705 states/eV/atom
E_form: -292.9 meV/atom

Computed, not measured: crystalline PaAsS at its relaxed geometry at the PBE-GGA level of DFT.

Unit cell a=4.483 b=4.483 c=3.853 alpha=90.00 beta=90.00 gamma=120.00
Sites, in units of the cell vectors:
Pa (0.000, 0.000, 0.000)
As (0.667, 0.333, 0.500)
S (0.333, 0.667, 0.000)

Total DFT energy (no corrections): -21.16 eV per formula unit
Density of states at the Fermi level: 0.395 states/eV/atom
E_form (uncorrected): -0.964 eV per atom

Computed, not measured: crystalline LaDy2Pt at its relaxed geometry at the PBE-GGA level of DFT.

Unit cell a=7.195 b=9.727 c=6.620 alpha=90.00 beta=90.00 gamma=90.00
Sites, in units of the cell vectors:
La (0.025, 0.250, 0.136)
La (0.475, 0.750, 0.636)
La (0.525, 0.250, 0.364)
La (0.975, 0.750, 0.864)
Dy (0.176, 0.063, 0.671)
Dy (0.176, 0.437, 0.671)
Dy (0.324, 0.563, 0.171)
Dy (0.324, 0.937, 0.171)
Dy (0.676, 0.063, 0.829)
Dy (0.676, 0.437, 0.829)
Dy (0.824, 0.563, 0.329)
Dy (0.824, 0.937, 0.329)
Pt (0.117, 0.750, 0.427)
Pt (0.383, 0.250, 0.927)
Pt (0.617, 0.750, 0.073)
Pt (0.883, 0.250, 0.573)

Total DFT energy (no corrections): -22.93 eV per formula unit
Density of states at the Fermi level: 1.051 states/eV/atom
E_form: -688.7 meV/atom

Computed, not measured: crystalline Bi3O5 at its relaxed geometry at the PBE-GGA level of DFT.

Unit cell a=6.922 b=6.922 c=6.973 alpha=95.18 beta=95.18 gamma=122.33
Sites, in units of the cell vectors:
Bi (0.000, 0.000, 0.000)
Bi (0.133, 0.624, 0.727)
Bi (0.186, 0.186, 0.486)
Bi (0.388, 0.720, 0.260)
Bi (0.624, 0.133, 0.727)
Bi (0.720, 0.388, 0.260)
O (0.078, 0.487, 0.394)
O (0.119, 0.709, 0.044)
O (0.231, 0.993, 0.725)
O (0.306, 0.306, 0.157)
O (0.487, 0.078, 0.394)
O (0.492, 0.768, 0.633)
O (0.709, 0.119, 0.044)
O (0.768, 0.492, 0.633)
O (0.901, 0.901, 0.296)
O (0.993, 0.231, 0.725)

Total DFT energy (no corrections): -44.65 eV per formula unit
Density of states at the Fermi level: 0.337 states/eV/atom
E_form (uncorrected): -1.027 eV per atom

Computed, not measured: crystalline PrY14Cd at its relaxed geometry at the PBE-GGA level of DFT.

Unit cell a=11.313 b=7.228 c=7.228 alpha=60.13 beta=90.00 gamma=90.00
Sites, in units of the cell vectors:
Pr (0.000, 0.000, 0.000)
Y (0.000, 0.002, 0.518)
Y (0.000, 0.518, 0.002)
Y (0.244, 0.344, 0.344)
Y (0.245, 0.344, 0.841)
Y (0.245, 0.841, 0.344)
Y (0.256, 0.842, 0.842)
Y (0.500, 0.012, 0.507)
Y (0.500, 0.013, 0.013)
Y (0.500, 0.507, 0.012)
Y (0.500, 0.511, 0.511)
Y (0.744, 0.842, 0.842)
Y (0.755, 0.344, 0.841)
Y (0.755, 0.841, 0.344)
Y (0.756, 0.344, 0.344)
Cd (0.000, 0.510, 0.510)

Total DFT energy (no corrections): -96.57 eV per formula unit
Density of states at the Fermi level: 1.593 states/eV/atom
E_form: -23.3 meV/atom

Computed, not measured: crystalline Cd5SnHg2 at its relaxed geometry at the PBE-GGA level of DFT.

Unit cell a=8.650 b=8.650 c=8.650 alpha=152.75 beta=136.44 gamma=52.14
Sites, in units of the cell vectors:
Cd (0.000, 0.000, 0.000)
Cd (0.134, 0.383, 0.752)
Cd (0.369, 0.617, 0.752)
Cd (0.631, 0.383, 0.248)
Cd (0.866, 0.617, 0.248)
Sn (0.500, 0.000, 0.500)
Hg (0.223, 0.223, 0.000)
Hg (0.777, 0.777, 0.000)

Total DFT energy (no corrections): -8.83 eV per formula unit
Density of states at the Fermi level: 0.291 states/eV/atom
E_form: 44.4 meV/atom

Computed, not measured: crystalline Pm4TmSb5 at its relaxed geometry at the PBE-GGA level of DFT.

Unit cell a=16.078 b=16.078 c=16.078 alpha=164.04 beta=164.04 gamma=22.65
Sites, in units of the cell vectors:
Pm (0.099, 0.099, 0.000)
Pm (0.301, 0.301, 0.000)
Pm (0.699, 0.699, 0.000)
Pm (0.901, 0.901, 0.000)
Tm (0.500, 0.500, 0.000)
Sb (0.000, 0.000, 0.000)
Sb (0.200, 0.200, 0.000)
Sb (0.402, 0.402, 0.000)
Sb (0.598, 0.598, 0.000)
Sb (0.800, 0.800, 0.000)

Total DFT energy (no corrections): -55.66 eV per formula unit
Density of states at the Fermi level: 0.116 states/eV/atom
E_form (uncorrected): -1.157 eV per atom